# 1
NbPCl2: optimized geometry, GGA-PBE.

Geometry as POSCAR:
```
NbPCl2
1.0
3.0634 0.0000 0.0000
-1.5317 2.6529 0.0000
0.0000 0.0000 34.8486
Nb P Cl
3 3 6
direct
0.0000 0.0000 0.0000
0.3333 0.6667 0.6667
0.6667 0.3333 0.3333
0.0000 0.0000 0.5000
0.3333 0.6667 0.1667
0.6667 0.3333 0.8333
0.0000 0.0000 0.3854
0.0000 0.0000 0.6146
0.3333 0.6667 0.0521
0.3333 0.6667 0.2812
0.6667 0.3333 0.7188
0.6667 0.3333 0.9479
```

Values from the calculation:
As for the energy relative to the lowest polymorph listed for this composition: 0.40 eV/f.u. The total moment comes out at 0.00 μB/atom. The formation energy from raw total energies comes out at -0.2155 eV per atom. Its density of states at the Fermi level is 7.6 states/eV/cell. The crystal system is trigonal. For the raw total energy, the calculation gives -20.035 eV per formula unit.


# 2
Tl3HgBi3: optimized geometry, GGA-PBE.

Geometry as POSCAR:
```
Tl3HgBi3
1.0
4.6786 2.7012 5.7920
-4.6786 2.7012 5.7920
0.0000 -5.4023 5.7920
Tl Hg Bi
6 2 6
direct
0.1758 0.4621 0.6125
0.3875 0.8242 0.5379
0.4621 0.6125 0.1758
0.5379 0.3875 0.8242
0.6125 0.1758 0.4621
0.8242 0.5379 0.3875
0.2600 0.2600 0.2600
0.7400 0.7400 0.7400
0.0307 0.9116 0.3212
0.0884 0.6788 0.9693
0.3212 0.0307 0.9116
0.6788 0.9693 0.0884
0.9116 0.3212 0.0307
0.9693 0.0884 0.6788
```

Values from the calculation:
As for the energy relative to the lowest polymorph listed for this composition: 0.00 eV/f.u. The total moment comes out at 0.00 μB/atom. Its density of states at the Fermi level is 5.8 states/eV/cell. The crystal system is trigonal. For the raw total energy, the calculation gives -18.919 eV per formula unit. The calculation puts the formation enthalpy at 0 K at 18 meV/atom.


# 3
LuPaGaRe: optimized geometry, GGA-PBE.

Geometry as POSCAR:
```
LuPaGaRe
1.0
6.9455 0.0000 0.0000
0.0000 6.9455 0.0000
0.0000 0.0000 6.9455
Lu Pa Ga Re
4 4 4 4
direct
0.0000 0.0000 0.0000
0.0000 0.5000 0.5000
0.5000 0.0000 0.5000
0.5000 0.5000 0.0000
0.0000 0.0000 0.5000
0.0000 0.5000 0.0000
0.5000 0.0000 0.0000
0.5000 0.5000 0.5000
0.2500 0.2500 0.2500
0.2500 0.7500 0.7500
0.7500 0.2500 0.7500
0.7500 0.7500 0.2500
0.2500 0.2500 0.7500
0.2500 0.7500 0.2500
0.7500 0.2500 0.2500
0.7500 0.7500 0.7500
```

Values from the calculation:
The total moment comes out at 0.00 μB/atom. Its density of states at the Fermi level is 12.1 states/eV/cell. The crystal system is cubic. For the raw total energy, the calculation gives -30.031 eV per formula unit. The calculation puts the formation enthalpy at 0 K at -135 meV/atom.


# 4
P3HRh: optimized geometry, GGA-PBE.

Geometry as POSCAR:
```
P3HRh
1.0
3.9135 0.0000 0.0000
0.0000 3.9135 0.0000
0.0000 0.0000 3.9135
P H Rh
3 1 1
direct
0.0000 0.0000 0.5000
0.0000 0.5000 0.0000
0.5000 0.0000 0.0000
0.0000 0.0000 0.0000
0.5000 0.5000 0.5000
```

Values from the calculation:
As for the energy relative to the lowest polymorph listed for this composition: 0.00 eV/f.u. The total moment comes out at 0.00 μB/atom. Its density of states at the Fermi level is 2.5 states/eV/cell. The crystal system is cubic. For the raw total energy, the calculation gives -23.863 eV per formula unit.


# 5
TbCeGa4: optimized geometry, GGA-PBE.

Geometry as POSCAR:
```
TbCeGa4
1.0
4.2106 0.0000 0.0000
0.0000 4.2106 0.0000
0.0000 0.0000 14.7333
Tb Ce Ga
2 2 8
direct
0.0000 0.0000 0.0000
0.5000 0.5000 0.5000
0.0000 0.5000 0.7500
0.5000 0.0000 0.2500
0.0000 0.0000 0.4175
0.0000 0.0000 0.5825
0.0000 0.5000 0.1667
0.0000 0.5000 0.3333
0.5000 0.0000 0.6667
0.5000 0.0000 0.8333
0.5000 0.5000 0.0825
0.5000 0.5000 0.9175
```

Values from the calculation:
As for the energy relative to the lowest polymorph listed for this composition: 0.06 eV/f.u. The total moment comes out at 0.08 μB/atom. Its density of states at the Fermi level is 12.9 states/eV/cell. The crystal system is tetragonal. For the raw total energy, the calculation gives -26.383 eV per formula unit. The calculation puts the formation enthalpy at 0 K at -619 meV/atom.


# 6
Rb4NaCu3F12: optimized geometry, GGA-PBE.

Geometry as POSCAR:
```
Rb4NaCu3F12
1.0
-4.2011 4.2011 4.2011
4.2011 -4.2011 4.2011
4.2011 4.2011 -4.2011
Rb Na Cu F
4 1 3 12
direct
0.0000 0.0000 0.5000
0.0000 0.5000 0.0000
0.5000 0.0000 0.0000
0.5000 0.5000 0.5000
0.0000 0.0000 0.0000
0.0000 0.5000 0.5000
0.5000 0.0000 0.5000
0.5000 0.5000 0.0000
0.0000 0.2740 0.2740
0.0000 0.7260 0.7260
0.2500 0.5000 0.7500
0.2500 0.7500 0.5000
0.2740 0.0000 0.2740
0.2740 0.2740 0.0000
0.5000 0.2500 0.7500
0.5000 0.7500 0.2500
0.7260 0.0000 0.7260
0.7260 0.7260 0.0000
0.7500 0.2500 0.5000
0.7500 0.5000 0.2500
```

Values from the calculation:
The total moment comes out at 0.19 μB/atom. The formation energy from raw total energies comes out at -2.2090 eV per atom. Its density of states at the Fermi level is 6.3 states/eV/cell. The crystal system is cubic. For the raw total energy, the calculation gives -84.115 eV per formula unit.